A) VASP calculation (meta-GGA SCAN) on NiMoRh2 at its PBEsol-relaxed geometry.

abc: 4.224 4.224 4.224
angles: 60.00 60.00 60.00
Element x y z (fractional)
1 Rh 0.250 0.250 0.250
2 Ni 0.500 0.500 0.500
3 Rh 0.750 0.750 0.750
4 Mo 0.000 0.000 0.000

Calculated values
The volume is 53 Å³ per cell. As for the theoretical density: 11.23 g cm⁻³.

***

B) VASP calculation (meta-GGA SCAN) on NiMoRh2 at its PBEsol-relaxed geometry.

abc: 3.712 3.712 4.628
angles: 113.64 113.64 90.00
Site moments in Bohr magnetons follow the coordinates.
Element x y z (fractional)
1 Ni 0.750 0.250 0.500  0.51
2 Rh 0.250 0.750 0.500  0.20
3 Rh 0.000 0.000 0.000  0.23
4 Mo 0.500 0.500 0.000  -0.02

Calculated values
The volume is 53 Å³ per cell. As for the theoretical density: 11.40 g cm⁻³.

***

C) VASP calculation (meta-GGA SCAN) on NiMoRh2 at its PBEsol-relaxed geometry.

abc: 3.664 3.784 3.784
angles: 90.00 90.00 90.00
Element x y z (fractional)
1 Rh 0.000 0.500 0.000
2 Ni 0.500 0.000 0.000
3 Rh 0.000 0.000 0.500
4 Mo 0.500 0.500 0.500

Calculated values
The volume is 52 Å³ per cell. As for the theoretical density: 11.41 g cm⁻³.

***

Q: What are the energies relative to the best structure? A: A) 126; B) 0; C) 5, in meV/atom.

***

A) VASP calculation (meta-GGA SCAN) on NiMoRu2 at its PBEsol-relaxed geometry.

abc: 2.675 2.675 8.705
angles: 81.16 81.16 60.00
Site moments in Bohr magnetons follow the coordinates.
Element x y z (fractional)
1 Ni 0.000 0.000 0.000  0.78
2 Ru 0.747 0.747 0.759  0.18
3 Mo 0.500 0.500 0.500  -0.08
4 Ru 0.253 0.253 0.241  0.18

Calculated values
The volume is 53 Å³ per cell. As for the theoretical density: 11.16 g cm⁻³.

***

B) VASP calculation (meta-GGA SCAN) on NiMoRu2 at its PBEsol-relaxed geometry.

abc: 2.613 4.296 4.760
angles: 90.00 95.52 90.00
Element x y z (fractional)
1 Mo 0.500 0.500 0.000
2 Ru 0.787 0.000 0.730
3 Ru 0.213 0.000 0.270
4 Ni 0.000 0.500 0.500

Calculated values
The volume is 53 Å³ per cell. As for the theoretical density: 11.14 g cm⁻³.

***

C) VASP calculation (meta-GGA SCAN) on NiMoRu2 at its PBEsol-relaxed geometry.

abc: 2.706 4.526 4.526
angles: 107.74 90.00 90.00
Element x y z (fractional)
1 Ru 0.000 0.000 0.500
2 Mo 0.500 0.000 0.000
3 Ru 0.000 0.500 0.000
4 Ni 0.500 0.500 0.500

Calculated values
The volume is 53 Å³ per cell. As for the theoretical density: 11.22 g cm⁻³.

***

Q: What are the energies relative to the best structure? A: A) 36; B) 61; C) 0, in meV/atom.

***

A) VASP calculation (meta-GGA SCAN) on ScNiMo2 at its PBEsol-relaxed geometry.

abc: 2.786 2.786 9.225
angles: 81.31 81.31 60.00
Element x y z (fractional)
1 Ni 0.498 0.498 0.506
2 Mo 0.002 0.002 0.993
3 Sc 0.243 0.243 0.270
4 Mo 0.756 0.756 0.731

Calculated values
The volume is 61 Å³ per cell. As for the theoretical density: 8.03 g cm⁻³.

***

B) VASP calculation (meta-GGA SCAN) on ScNiMo2 at its PBEsol-relaxed geometry.

abc: 3.652 3.652 4.562
angles: 90.00 90.00 90.00
Element x y z (fractional)
1 Mo 0.500 0.000 0.000
2 Sc 0.000 0.000 0.500
3 Ni 0.500 0.500 0.500
4 Mo 0.000 0.500 0.000

Calculated values
The volume is 61 Å³ per cell. As for the theoretical density: 8.06 g cm⁻³.

***

Q: What are the energies relative to the best structure? A: A) 340; B) 0, in meV/atom.

***

A) VASP calculation (meta-GGA SCAN) on SiNi3Mo2 at its PBEsol-relaxed geometry.

abc: 4.694 4.694 7.456
angles: 90.00 90.00 120.00
Site moments in Bohr magnetons follow the coordinates.
Element x y z (fractional)
1 Mo 0.333 0.667 0.065  0.13
2 Ni 0.170 0.339 0.750  0.37
3 Si 0.000 0.000 0.000  -0.01
4 Si 0.000 0.000 0.500  -0.01
5 Ni 0.830 0.661 0.250  0.37
6 Ni 0.830 0.170 0.250  0.37
7 Ni 0.661 0.830 0.750  0.37
8 Mo 0.667 0.333 0.935  0.13
9 Ni 0.339 0.170 0.250  0.37
10 Ni 0.170 0.830 0.750  0.37
11 Mo 0.333 0.667 0.435  0.13
12 Mo 0.667 0.333 0.565  0.13

Calculated values
The volume is 142 Å³ per cell. As for the theoretical density: 9.25 g cm⁻³.

***

B) VASP calculation (meta-GGA SCAN) on SiNi3Mo2 at its PBEsol-relaxed geometry.

abc: 4.664 4.664 7.513
angles: 90.00 90.00 119.11
Element x y z (fractional)
1 Ni 0.817 0.183 0.000
2 Mo 0.337 0.663 0.810
3 Mo 0.666 0.334 0.682
4 Ni 0.663 0.830 0.500
5 Ni 0.170 0.337 0.500
6 Ni 0.171 0.829 0.500
7 Mo 0.666 0.334 0.318
8 Si 0.334 0.172 0.000
9 Si 0.828 0.666 0.000
10 Mo 0.337 0.663 0.190
11 Ni 0.006 0.994 0.242
12 Ni 0.006 0.994 0.758

Calculated values
The volume is 143 Å³ per cell. As for the theoretical density: 9.21 g cm⁻³.

***

Q: What are the energies relative to the best structure? A: A) 0; B) 100, in meV/atom.